This record from the Alexandria database describes crystalline La3DyHo2Tm6 at its relaxed geometry. The functional is PBE-GGA.

```
12
Lattice="6.182 0.000 -0.001 -3.090 5.355 -0.001 -1.028 -1.779 11.549" Properties=species:S:1:pos:R:3 pbc="T T T"
La -2.058 3.572 5.774
La 4.123 0.003 5.774
La 1.032 1.788 5.774
Dy 0.000 0.000 0.000
Ho 0.001 3.570 -0.001
Ho 3.092 1.785 -0.001
Tm 3.095 1.791 8.731
Tm 2.061 3.569 2.817
Tm -1.030 1.785 2.817
Tm 0.004 3.576 8.731
Tm 0.004 0.006 8.731
Tm 2.061 0.000 2.817
```

Calculated values
DFT total energy: -4.59 eV/atom
Symmetry: C2/m, No. 12


This record from the Alexandria database describes crystalline LaDy2HoTm4 at its relaxed geometry. The functional is PBE-GGA.

```
16
Lattice="-5.601 4.070 7.120 -8.290 -2.753 -4.951 9.706 -7.061 -2.176" Properties=species:S:1:pos:R:3 pbc="T T T"
La -2.091 -2.874 -0.005
La -4.185 -5.744 -0.008
Dy -11.091 -0.718 -1.391
Dy -6.237 -4.249 -2.480
Dy -3.437 -6.284 -6.039
Dy 2.760 -6.402 -1.092
Ho -4.144 -1.377 -2.475
Ho 0.707 -4.907 -3.563
Tm -7.622 -1.042 -1.898
Tm -1.426 -1.164 3.049
Tm -2.759 -4.581 -3.057
Tm 3.437 -4.702 1.890
Tm -10.389 0.968 1.619
Tm -5.593 -2.521 0.546
Tm 1.408 -3.223 -0.553
Tm 6.204 -6.712 -1.626
```

Calculated values
DFT total energy: -4.55 eV/atom
Symmetry: Pmmm, No. 47


This record from the Alexandria database describes crystalline LaDy6Ho3Tm2 at its relaxed geometry. The functional is PBE-GGA.

```
12
Lattice="6.138 0.001 0.019 -3.067 5.317 0.019 -1.055 -1.827 11.578" Properties=species:S:1:pos:R:3 pbc="T T T"
La 0.000 0.000 0.000
Dy 3.048 1.719 8.687
Dy 2.037 3.527 2.948
Dy -1.032 1.771 2.929
Dy -0.034 3.499 8.687
Dy -0.021 -0.037 8.668
Dy 2.050 -0.009 2.929
Ho -2.056 3.515 5.808
Ho 4.072 -0.024 5.808
Ho 1.008 1.745 5.808
Tm 0.002 3.545 0.019
Tm 3.070 1.773 0.019
```

Calculated values
DFT total energy: -4.58 eV/atom
Symmetry: C2/m, No. 12


This record from the Alexandria database describes crystalline La2Dy5HoTm at its relaxed geometry. The functional is PBE-GGA.

```
18
Lattice="5.633 0.000 0.000 -2.817 9.964 0.000 0.000 0.000 10.697" Properties=species:S:1:pos:R:3 pbc="T T T"
La 2.817 7.658 8.758
La 0.000 2.243 7.852
La 0.000 2.306 3.410
La 2.817 7.720 2.503
Dy 0.000 7.724 0.229
Dy 2.817 4.368 8.637
Dy 0.000 9.578 7.919
Dy 0.000 5.974 7.549
Dy 2.817 9.638 5.597
Dy 2.817 2.240 5.577
Dy 0.000 5.596 3.289
Dy 2.817 0.386 2.571
Dy 2.817 3.990 2.200
Dy 0.000 0.326 0.248
Ho 2.817 5.976 5.469
Ho 0.000 3.988 0.120
Tm 2.817 1.767 10.288
Tm 0.000 8.196 4.939
```

Calculated values
DFT total energy: -4.52 eV/atom
Symmetry: Cmc2_1, No. 36


no.,magnetization (μB/cell)
1,0.000
2,0.000
3,0.000
4,0.000